! Ba2Zn2Bi | the Alexandria database | PBE | relaxed; values from VASP
! - space-group type = No. 139
! - spin magnetization (μB per cell) = 0.0
! - E_form (eV/atom) = -0.2519
&SYSTEM
  ibrav = 0, nat = 10, ntyp = 3
/
ATOMIC_SPECIES
Ba 137.33 Ba.upf
Zn 65.41 Zn.upf
Bi 208.98 Bi.upf
CELL_PARAMETERS angstrom
6.566 0.000 0.000
0.000 6.566 0.000
0.000 0.000 8.377
ATOMIC_POSITIONS angstrom
Ba 0.000 3.283 2.094
Ba 0.000 3.283 6.283
Ba 3.283 0.000 2.094
Ba 3.283 0.000 6.283
Zn 0.000 0.000 1.209
Zn 0.000 0.000 7.168
Zn 3.283 3.283 2.980
Zn 3.283 3.283 5.397
Bi 0.000 0.000 4.188
Bi 3.283 3.283 0.000

! BaZn3Bi | the Alexandria database | PBE | relaxed; values from VASP
! - space-group type = No. 221
! - spin magnetization (μB per cell) = 0.0
! - E_form (eV/atom) = 0.8617
&SYSTEM
  ibrav = 0, nat = 5, ntyp = 3
/
ATOMIC_SPECIES
Ba 137.33 Ba.upf
Zn 65.41 Zn.upf
Bi 208.98 Bi.upf
CELL_PARAMETERS angstrom
5.889 0.000 0.000
0.000 5.889 0.000
0.000 0.000 5.889
ATOMIC_POSITIONS angstrom
Ba 0.000 0.000 0.000
Zn 0.000 0.000 2.945
Zn 0.000 2.945 0.000
Zn 2.945 0.000 0.000
Bi 2.945 2.945 2.945

! BaZnBi2 | the Alexandria database | PBE | relaxed; values from VASP
! - space-group type = No. 123
! - spin magnetization (μB per cell) = 0.0
! - E_form (eV/atom) = -0.3363
&SYSTEM
  ibrav = 0, nat = 4, ntyp = 3
/
ATOMIC_SPECIES
Ba 137.33 Ba.upf
Zn 65.41 Zn.upf
Bi 208.98 Bi.upf
CELL_PARAMETERS angstrom
4.880 0.000 0.000
0.000 4.880 0.000
0.000 0.000 5.436
ATOMIC_POSITIONS angstrom
Ba 0.000 0.000 0.000
Zn 2.440 2.440 0.000
Bi 0.000 2.440 2.718
Bi 2.440 0.000 2.718

! BaZnBi3 | the Alexandria database | PBE | relaxed; values from VASP
! - space-group type = No. 221
! - spin magnetization (μB per cell) = 0.0
! - E_form (eV/atom) = -0.1684
&SYSTEM
  ibrav = 0, nat = 5, ntyp = 3
/
ATOMIC_SPECIES
Ba 137.33 Ba.upf
Zn 65.41 Zn.upf
Bi 208.98 Bi.upf
CELL_PARAMETERS angstrom
5.568 0.000 0.000
0.000 5.568 0.000
0.000 0.000 5.568
ATOMIC_POSITIONS angstrom
Ba 0.000 0.000 0.000
Zn 2.784 2.784 2.784
Bi 0.000 2.784 2.784
Bi 2.784 0.000 2.784
Bi 2.784 2.784 0.000

! BaZn2Bi | the Alexandria database | PBE | relaxed; values from VASP
! - space-group type = No. 141
! - spin magnetization (μB per cell) = 0.0
! - E_form (eV/atom) = -0.2310
&SYSTEM
  ibrav = 0, nat = 16, ntyp = 3
/
ATOMIC_SPECIES
Ba 137.33 Ba.upf
Zn 65.41 Zn.upf
Bi 208.98 Bi.upf
CELL_PARAMETERS angstrom
5.120 0.000 0.000
0.000 5.120 0.000
0.000 0.000 20.526
ATOMIC_POSITIONS angstrom
Ba 0.000 1.280 7.697
Ba 0.000 3.840 12.829
Ba 2.560 1.280 2.566
Ba 2.560 3.840 17.960
Zn 0.000 0.000 0.000
Zn 0.000 2.560 0.000
Zn 1.280 1.280 15.395
Zn 1.280 3.840 5.132
Zn 2.560 0.000 10.263
Zn 2.560 2.560 10.263
Zn 3.840 1.280 15.395
Zn 3.840 3.840 5.132
Bi 0.000 1.280 17.960
Bi 0.000 3.840 2.566
Bi 2.560 1.280 12.829
Bi 2.560 3.840 7.697

! Ba2Zn2Bi3 | the Alexandria database | PBE | relaxed; values from VASP
! - space-group type = No. 63
! - spin magnetization (μB per cell) = 0.0
! - E_form (eV/atom) = -0.5063
&SYSTEM
  ibrav = 0, nat = 14, ntyp = 3
/
ATOMIC_SPECIES
Ba 137.33 Ba.upf
Zn 65.41 Zn.upf
Bi 208.98 Bi.upf
CELL_PARAMETERS angstrom
2.692 -11.667 0.000
2.692 11.667 0.000
0.000 0.000 7.291
ATOMIC_POSITIONS angstrom
Ba 2.692 10.948 5.468
Ba 2.692 7.855 1.823
Ba 2.692 -7.855 5.468
Ba 2.692 -10.948 1.823
Zn 2.692 4.643 0.448
Zn 2.692 4.643 3.197
Zn 2.692 -4.643 4.094
Zn 2.692 -4.643 6.843
Bi 2.692 6.659 5.468
Bi 2.692 1.895 3.855
Bi 2.692 1.895 7.082
Bi 2.692 -1.895 0.209
Bi 2.692 -1.895 3.437
Bi 2.692 -6.659 1.823

The highest E_form belongs to which entry? BaZn3Bi

spin magnetization of number 1 (Ba2Zn2Bi)? 0.0 μB per cell

The highest E_form belongs to which entry? BaZn3Bi